Here is crystalline TmGa4Fe at its relaxed geometry from the Alexandria database. Energies are from PBE.

Lattice parameters (Å, degrees): 4.7055 6.3447 8.2689 112.56 106.54 90.00
Site moments in Bohr magnetons follow the coordinates.
Fractional positions:
Ga 0.6102 0.3501 0.2199  -0.02
Ga 0.3898 0.6499 0.7801  -0.02
Ga 0.8437 0.3443 0.6886  -0.03
Ga 0.0000 0.8173 0.0000  -0.03
Ga 0.3898 0.1302 0.7801  -0.02
Ga 0.6102 0.8698 0.2199  -0.02
Ga 0.1563 0.6557 0.3114  -0.03
Ga 0.0000 0.1827 0.0000  -0.03
Fe 0.7394 0.5001 0.0001  1.52
Fe 0.2606 0.4999 0.9999  1.52
Tm 0.2076 0.2076 0.4152  0.02
Tm 0.7924 0.7924 0.5848  0.02

## Properties
As for the spin magnetization: 2.8 Bohr magnetons per cell. Its density of states at the Fermi level is 2.0 states/eV/f.u. As for the energy relative to the elements: -285 meV per atom.

***

Here is crystalline Tm8GaFe2 at its relaxed geometry from the Alexandria database. Energies are from PBE.

Lattice parameters (Å, degrees): 5.2519 7.6181 7.6181 112.29 97.92 97.92
Fractional positions:
Tm 0.5812 0.0661 0.3341
Tm 0.4190 0.9401 0.6723
Tm 0.4190 0.6723 0.9401
Tm 0.0000 0.7601 0.2462
Tm 0.1967 0.3822 0.3822
Tm 0.5812 0.3341 0.0661
Tm 0.8032 0.6238 0.6238
Tm 0.0000 0.2462 0.7601
Fe 0.5000 0.3170 0.6893
Fe 0.5000 0.6893 0.3170
Ga 0.9995 0.0030 0.0030

## Properties
As for the spin magnetization: 0.0 Bohr magnetons per cell. Its density of states at the Fermi level is 8.0 states/eV/f.u. As for the energy relative to the elements: -69 meV per atom.

***

Here is crystalline Tm2Ga5Fe at its relaxed geometry from the Alexandria database. Energies are from PBE.

Lattice parameters (Å, degrees): 5.9521 5.9521 5.9521 92.55 118.54 118.54
Site moments in Bohr magnetons follow the coordinates.
Fractional positions:
Ga 0.5644 0.2857 0.2857  -0.02
Ga 0.0000 0.2487 0.2487  -0.02
Ga 0.0000 0.2857 0.7213  -0.02
Ga 0.4356 0.7213 0.7213  -0.02
Ga 0.0000 0.7213 0.2857  -0.02
Tm 0.5000 0.7554 0.2554  0.00
Tm 0.5000 0.2554 0.7554  0.00
Fe 0.0000 0.9485 0.9485  2.34

## Properties
As for the spin magnetization: 2.2 Bohr magnetons per cell. Its density of states at the Fermi level is 4.1 states/eV/f.u. As for the energy relative to the elements: -346 meV per atom.

***

Here is crystalline TmGaFe4 at its relaxed geometry from the Alexandria database. Energies are from PBE.

Lattice parameters (Å, degrees): 4.9267 4.9267 4.9267 60.00 60.00 60.00
Site moments in Bohr magnetons follow the coordinates.
Fractional positions:
Fe 0.1280 0.6240 0.6240  1.99
Fe 0.6240 0.1280 0.6240  1.99
Fe 0.6240 0.6240 0.1280  1.99
Fe 0.6240 0.6240 0.6240  1.99
Ga 0.2500 0.2500 0.2500  -0.09
Tm 0.0000 0.0000 0.0000  -0.42

## Properties
As for the spin magnetization: 7.5 Bohr magnetons per cell. Its density of states at the Fermi level is 7.3 states/eV/f.u. As for the energy relative to the elements: -130 meV per atom.

***

Here is crystalline Tm8Ga2Fe at its relaxed geometry from the Alexandria database. Energies are from PBE.

Lattice parameters (Å, degrees): 5.0915 6.6548 9.0125 110.58 106.41 90.00
Fractional positions:
Tm 0.9812 0.2117 0.9624
Tm 0.6512 0.9533 0.3024
Tm 0.2011 0.2960 0.4021
Tm 0.0188 0.7883 0.0376
Tm 0.3488 0.0467 0.6976
Tm 0.7989 0.7040 0.5979
Tm 0.4089 0.5755 0.8178
Tm 0.5911 0.4245 0.1822
Fe 0.5000 0.0000 0.0000
Ga 0.1768 0.7053 0.3537
Ga 0.8232 0.2947 0.6463

## Properties
As for the spin magnetization: 0.0 Bohr magnetons per cell. Its density of states at the Fermi level is 9.5 states/eV/f.u. As for the energy relative to the elements: -202 meV per atom.

***

Here is crystalline TmGa3Fe2 at its relaxed geometry from the Alexandria database. Energies are from PBE.

Lattice parameters (Å, degrees): 5.1816 6.1267 6.1267 98.03 90.00 90.00
Site moments in Bohr magnetons follow the coordinates.
Fractional positions:
Ga 0.7500 0.0919 0.4506  -0.06
Ga 0.2500 0.9775 0.9775  -0.06
Ga 0.7500 0.4506 0.0919  -0.06
Ga 0.2500 0.5494 0.9081  -0.06
Ga 0.2500 0.9081 0.5494  -0.06
Ga 0.7500 0.0225 0.0225  -0.06
Fe 0.0000 0.2280 0.7720  1.57
Fe 0.5000 0.2280 0.7720  1.57
Fe 0.5000 0.7720 0.2280  1.57
Fe 0.0000 0.7720 0.2280  1.57
Tm 0.2500 0.3548 0.3548  -0.18
Tm 0.7500 0.6452 0.6452  -0.18

## Properties
As for the spin magnetization: 5.5 Bohr magnetons per cell. Its density of states at the Fermi level is 4.2 states/eV/f.u. As for the energy relative to the elements: -323 meV per atom.

***

Here is crystalline TmGa3Fe at its relaxed geometry from the Alexandria database. Energies are from PBE.

Lattice parameters (Å, degrees): 4.0257 8.2570 10.4171 90.00 90.00 90.00
Site moments in Bohr magnetons follow the coordinates.
Fractional positions:
Ga 0.7500 0.1500 0.7823  0.00
Ga 0.7500 0.6044 0.2915  -0.03
Ga 0.7500 0.6500 0.7177  0.00
Ga 0.2500 0.3500 0.2823  0.00
Ga 0.2500 0.3956 0.7085  -0.03
Ga 0.7500 0.1044 0.2085  -0.03
Ga 0.2500 0.8500 0.2177  0.00
Ga 0.2500 0.8956 0.7915  -0.03
Ga 0.2500 0.5515 0.0837  -0.01
Ga 0.7500 0.4485 0.9163  -0.01
Ga 0.2500 0.0515 0.4163  -0.01
Ga 0.7500 0.9485 0.5837  -0.01
Tm 0.7500 0.2974 0.4883  -0.03
Tm 0.2500 0.7026 0.5117  -0.03
Tm 0.2500 0.2026 0.9883  -0.03
Tm 0.7500 0.7974 0.0117  -0.03
Fe 0.7500 0.8810 0.3545  0.70
Fe 0.2500 0.6190 0.8545  0.70
Fe 0.2500 0.1190 0.6455  0.70
Fe 0.7500 0.3810 0.1455  0.70

## Properties
As for the spin magnetization: 2.6 Bohr magnetons per cell. Its density of states at the Fermi level is 4.0 states/eV/f.u. The calculation puts the energy above the most stable polymorph in this dataset at 0.00 eV per formula unit. As for the energy relative to the elements: -389 meV per atom.

***

Here is crystalline TmGa2Fe at its relaxed geometry from the Alexandria database. Energies are from PBE.

Lattice parameters (Å, degrees): 4.1453 6.7360 9.9739 90.00 90.00 90.00
Site moments in Bohr magnetons follow the coordinates.
Fractional positions:
Ga 0.2500 0.2286 0.9566  -0.03
Ga 0.2500 0.7286 0.5434  -0.03
Ga 0.7500 0.0908 0.8307  -0.04
Ga 0.2500 0.9092 0.1693  -0.04
Ga 0.7500 0.5908 0.6693  -0.04
Ga 0.2500 0.4092 0.3307  -0.04
Ga 0.7500 0.2714 0.4566  -0.03
Ga 0.7500 0.7714 0.0434  -0.03
Fe 0.2500 0.0403 0.4196  2.20
Fe 0.7500 0.4597 0.9196  2.20
Fe 0.2500 0.5403 0.0804  2.20
Fe 0.7500 0.9597 0.5804  2.20
Tm 0.7500 0.7175 0.3374  -0.10
Tm 0.2500 0.7825 0.8374  -0.10
Tm 0.2500 0.2825 0.6626  -0.10
Tm 0.7500 0.2175 0.1626  -0.10

## Properties
As for the spin magnetization: 8.1 Bohr magnetons per cell. Its density of states at the Fermi level is 1.9 states/eV/f.u. As for the energy relative to the elements: -409 meV per atom.

***

Here is crystalline Tm2Ga8Fe at its relaxed geometry from the Alexandria database. Energies are from PBE.

Lattice parameters (Å, degrees): 4.2001 4.2001 11.1045 90.00 90.00 90.00
Fractional positions:
Ga 0.0000 0.5000 0.8838
Ga 0.5000 0.0000 0.8838
Ga 0.0000 0.5000 0.1162
Ga 0.0000 0.0000 0.6934
Ga 0.0000 0.0000 0.3066
Ga 0.5000 0.0000 0.5000
Ga 0.5000 0.0000 0.1162
Ga 0.0000 0.5000 0.5000
Fe 0.5000 0.5000 0.0000
Tm 0.5000 0.5000 0.6945
Tm 0.5000 0.5000 0.3055

## Properties
As for the spin magnetization: 0.0 Bohr magnetons per cell. Its density of states at the Fermi level is 5.7 states/eV/f.u. As for the energy relative to the elements: -431 meV per atom.

***

Here is crystalline TmGa6Fe6 at its relaxed geometry from the Alexandria database. Energies are from PBE.

Lattice parameters (Å, degrees): 5.0109 6.5403 6.5403 80.50 67.48 67.48
Site moments in Bohr magnetons follow the coordinates.
Fractional positions:
Ga 0.0000 0.3326 0.6674  -0.06
Ga 0.3180 0.1820 0.1820  -0.08
Ga 0.6820 0.8180 0.8180  -0.08
Ga 0.0000 0.6674 0.3326  -0.06
Ga 0.6563 0.3437 0.3437  -0.07
Ga 0.3437 0.6563 0.6563  -0.07
Fe 0.5000 0.2426 0.7574  1.92
Fe 0.5000 0.5000 0.0000  1.89
Fe 0.0000 0.5000 0.0000  1.89
Fe 0.0000 0.0000 0.5000  1.89
Fe 0.5000 0.7574 0.2426  1.92
Fe 0.5000 0.0000 0.5000  1.89
Tm 0.0000 0.0000 0.0000  -0.24

## Properties
As for the spin magnetization: 10.7 Bohr magnetons per cell. Its density of states at the Fermi level is 7.0 states/eV/f.u. As for the energy relative to the elements: -316 meV per atom.

***

Here is crystalline Tm2Ga3Fe at its relaxed geometry from the Alexandria database. Energies are from PBE.

Lattice parameters (Å, degrees): 4.2566 5.5593 5.6395 77.60 67.83 67.49
Site moments in Bohr magnetons follow the coordinates.
Fractional positions:
Ga 0.8267 0.2257 0.1209  -0.02
Ga 0.1641 0.7639 0.9078  -0.01
Ga 0.8505 0.6152 0.6837  0.00
Tm 0.4493 0.8042 0.2972  -0.11
Tm 0.5475 0.2058 0.6991  -0.14
Fe 0.1619 0.3851 0.2912  1.98

## Properties
As for the spin magnetization: 1.7 Bohr magnetons per cell. Its density of states at the Fermi level is 4.3 states/eV/f.u. As for the energy relative to the elements: -478 meV per atom.